Entry 1:
Entry from Alexandria via LeMat-Bulk: CaScCr2 after structural relaxation (PBE).

POSCAR file:
```
CaScCr2
1.0
-1.8452 2.0574 -4.6566
-4.5325 -2.0777 -2.1120
1.9177 2.1698 4.5755
Sc Cr Ca
1 2 1
direct
0.7500 0.2500 0.5000
0.5036 0.5036 0.0000
0.9964 0.9964 0.0000
0.2500 0.7500 0.5000
```

Properties
calculated total energy: -23.61 eV for the cell shown
relative energy among the computed polymorphs: 0.657 eV per atom
density: 4.44 Mg/m³
E_form: 0.99 eV/atom
space-group type: Immm (71)

Entry 2:
Entry from Alexandria via LeMat-Bulk: CaSc3Cr after structural relaxation (PBE).

POSCAR file:
```
CaSc3Cr
1.0
4.9485 0.0000 0.0000
0.0000 4.9485 0.0000
0.0000 0.0000 4.9485
Cr Ca Sc
1 1 3
direct
0.5000 0.5000 0.5000
0.0000 0.0000 0.0000
0.5000 0.0000 0.0000
0.0000 0.0000 0.5000
0.0000 0.5000 0.0000
```

Properties
calculated total energy: -21.57 eV for the cell shown
relative energy among the computed polymorphs: 1.521 eV per atom
density: 3.11 Mg/m³
E_form: 1.81 eV/atom
space-group type: Pm-3m (221)

Entry 3:
Entry from Alexandria via LeMat-Bulk: CaScCr2 after structural relaxation (PBE).

POSCAR file:
```
CaScCr2
1.0
4.9082 -0.0287 0.0121
3.9145 2.9610 0.0121
0.9321 0.3098 6.0590
Sc Ca Cr
1 1 2
direct
0.2500 0.2500 0.2500
0.7500 0.7500 0.7500
0.5056 0.5056 0.4359
0.9944 0.9944 0.0641
```

Properties
calculated total energy: -24.52 eV for the cell shown
relative energy among the computed polymorphs: 0.429 eV per atom
density: 3.54 Mg/m³
E_form: 0.77 eV/atom
space-group type: C2/m (12)

Entry 4:
Entry from Alexandria via LeMat-Bulk: CaScCr2 after structural relaxation (PBE).

POSCAR file:
```
CaScCr2
1.0
-0.2911 1.8538 2.0127
-1.0216 -1.9513 1.6495
8.6561 -1.9530 3.0507
Ca Cr Sc
1 2 1
direct
0.5000 0.5000 0.7500
0.0000 0.0000 0.0195
0.0000 0.0000 0.4805
0.5000 0.5000 0.2500
```

Properties
calculated total energy: -23.97 eV for the cell shown
relative energy among the computed polymorphs: 0.567 eV per atom
density: 4.42 Mg/m³
E_form: 0.90 eV/atom
space-group type: P4/mmm (123)